No. 1
Zr3AsP2: optimized geometry, PBE.

Values from the calculation:
Calculated formation energy   -1.303 eV per atom
Final energy   -8.155 eV/atom
Calculated density   5885 kg/m3

a b c (Å): 3.7858 3.7858 18.6668
angles (deg): 90.00 90.00 120.00
Closest atoms and distances in Å follow each position.
Space group P6_3/mmc (No. 194)
Unique sites:
Zr 0.0000 0.0000 0.0000 x2  6 P 2.65
Zr 0.3333 0.6667 0.1566 x4  3 P 2.61, 3 As 2.80
As 0.0000 0.0000 0.2500 x2  6 Zr 2.80
P 0.3333 0.6667 0.5806 x4  6 Zr 2.61-2.65



No. 2
Ti4Ga5C: optimized geometry, PBE.

Values from the calculation:
Calculated formation energy   -0.384 eV per atom
Final energy   -5.978 eV/atom
Calculated density   5704 kg/m3

a b c (Å): 14.5047 3.0533 7.3590
angles (deg): 90.00 99.51 90.00
Closest atoms and distances in Å follow each position.
Space group C2/m (No. 12)
Unique sites:
Ti 0.0054 0.0000 0.1914 x4  2 C 2.07
Ti 0.1495 0.5000 0.0339 x4  1 C 2.14
Ga 0.0000 0.5000 0.5000 x2  4 Ti 2.75, 2 Ga 3.05
Ga 0.1735 0.0000 0.7341 x4  3 Ga 2.70-2.81, 4 Ti 2.74-2.84
Ga 0.1814 0.0000 0.3700 x4  3 Ti 2.67-2.88, 5 Ga 2.70-2.95
C 0.0000 0.5000 0.0000 x2  6 Ti 2.07-2.14



No. 3
SnSb2Mo2: optimized geometry, PBE.

Values from the calculation:
Energy relative to the elements, uncorrected   0.27 eV per atom
Relative energy among the computed polymorphs   0.0 kJ/mol of formula units
Final energy   -6.509 eV/atom
Calculated density   9058 kg/m3

a b c (Å): 7.6470 7.6470 3.4741
angles (deg): 90.00 90.00 90.00
Closest atoms and distances in Å follow each position.
Space group P4/mbm (No. 127)
Unique sites:
Sn 0.0000 0.0000 0.0000 x2  4 Mo 2.92
Sb 0.1467 0.3533 0.5000 x4  6 Mo 2.82-2.84
Mo 0.1477 0.6477 0.0000 x4  6 Sb 2.82-2.84, 2 Sn 2.92